Compound: Sr2Hg2H4Rh
Source: Alexandria via LeMat-Bulk
Functional: PBE
Structure: optimized geometry

```
Sr2Hg2H4Rh
1.0
-3.224 4.941 0.972
-2.893 -5.231 0.132
3.992 -1.534 4.178
Sr Hg Rh H
2 2 1 4
Direct
0.500 0.750 0.250
0.500 0.250 0.750
0.000 0.666 0.666
0.000 0.334 0.334
0.000 0.000 0.000
0.000 0.804 0.196
0.392 0.196 0.196
0.000 0.196 0.804
0.608 0.804 0.804
```

## Properties
Calculated total energy   -27.3 eV/cell
SG   I4/mmm (139)